Material: Sr3Bi2Pt
Method: DFT, GGA-PBE
State: relaxed

Output
- energy of formation (eV/atom) = -0.87

a b c (Å): 13.2070 4.8363 12.7788
angles (deg): 90.00 90.00 90.00
Atoms (fractional coordinates):
1 Sr 0.0567 0.2500 0.1247
2 Sr 0.1135 0.7500 0.5470
3 Sr 0.2308 0.2500 0.8014
4 Sr 0.2692 0.7500 0.3014
5 Sr 0.3865 0.2500 0.0470
6 Sr 0.4433 0.7500 0.6247
7 Sr 0.5567 0.2500 0.3753
8 Sr 0.6135 0.7500 0.9530
9 Sr 0.7308 0.2500 0.6986
10 Sr 0.7692 0.7500 0.1986
11 Sr 0.8865 0.2500 0.4530
12 Sr 0.9433 0.7500 0.8753
13 Bi 0.0099 0.7500 0.3048
14 Bi 0.1982 0.7500 0.9977
15 Bi 0.3018 0.2500 0.4977
16 Bi 0.4901 0.2500 0.8048
17 Bi 0.5099 0.7500 0.1952
18 Bi 0.6982 0.7500 0.5023
19 Bi 0.8018 0.2500 0.0023
20 Bi 0.9901 0.2500 0.6952
21 Pt 0.1227 0.2500 0.3669
22 Pt 0.3773 0.7500 0.8669
23 Pt 0.6227 0.2500 0.1331
24 Pt 0.8773 0.7500 0.6331



Material: Ac3ZnSn2Pd6
Method: DFT, GGA-PBE
State: relaxed

Output
- energy of formation (eV/atom) = -0.72

a b c (Å): 6.0308 6.0308 8.9412
angles (deg): 90.00 90.00 120.00
Atoms (fractional coordinates):
1 Ac 0.0000 0.0000 0.0000
2 Ac 0.3333 0.6667 0.6416
3 Ac 0.6667 0.3333 0.3584
4 Zn 0.0000 0.0000 0.5000
5 Sn 0.3333 0.6667 0.0447
6 Sn 0.6667 0.3333 0.9553
7 Pd 0.1734 0.3468 0.2970
8 Pd 0.1734 0.8266 0.2970
9 Pd 0.3468 0.1734 0.7030
10 Pd 0.6532 0.8266 0.2970
11 Pd 0.8266 0.1734 0.7030
12 Pd 0.8266 0.6532 0.7030



Material: Tb2Nd3Ho
Method: DFT, GGA-PBE
State: relaxed

Output
- relative energy among the computed polymorphs (kJ/mol of formula units) = 0
- energy of formation (eV/atom) = -0.01

a b c (Å): 6.2919 6.2919 11.6607
angles (deg): 90.00 90.00 59.90
Atoms (fractional coordinates):
1 Tb 0.0007 0.3330 0.0000
2 Tb 0.3330 0.0007 0.5000
3 Tb 0.6670 0.9993 0.0000
4 Tb 0.9993 0.6670 0.5000
5 Nd 0.0011 0.9989 0.2500
6 Nd 0.3327 0.3349 0.7500
7 Nd 0.3349 0.3327 0.2500
8 Nd 0.6651 0.6673 0.7500
9 Nd 0.6673 0.6651 0.2500
10 Nd 0.9989 0.0011 0.7500
11 Ho 0.3336 0.6664 0.0001
12 Ho 0.6664 0.3336 0.5001



Material: La2HgGe4Pd3
Method: DFT, GGA-PBE
State: relaxed

Output
- energy of formation (eV/atom) = -0.73

a b c (Å): 4.4297 4.4297 10.5014
angles (deg): 90.00 90.00 90.00
Atoms (fractional coordinates):
1 La 0.0000 0.5000 0.2424
2 La 0.5000 0.0000 0.7576
3 Hg 0.0000 0.0000 0.5000
4 Ge 0.0000 0.0000 0.0000
5 Ge 0.0000 0.5000 0.6468
6 Ge 0.5000 0.0000 0.3532
7 Ge 0.5000 0.5000 0.0000
8 Pd 0.0000 0.5000 0.8814
9 Pd 0.5000 0.0000 0.1186
10 Pd 0.5000 0.5000 0.5000